No. 1
# CuIrNF2, optimized geometry, DFT PBE
data_CuIrNF2
_chemical_formula_sum 'Cu1 Ir1 N1 F2'
_symmetry_space_group_name_H-M 'P 1'
_symmetry_Int_Tables_number 1
_cell_length_a 4.3250
_cell_length_b 4.3250
_cell_length_c 3.6980
_cell_angle_alpha 90.00
_cell_angle_beta 90.00
_cell_angle_gamma 90.00
loop_
_symmetry_equiv_pos_as_xyz
'x,y,z'
loop_
_atom_site_label
_atom_site_fract_x
_atom_site_fract_y
_atom_site_fract_z
_atom_site_occupancy
Cu1 0.0000 0.0000 0.0000 1
Ir1 0.5000 0.5000 0.5000 1
N1 0.5000 0.5000 0.0000 1
F1 0.0000 0.5000 0.5000 1
F2 0.5000 0.0000 0.5000 1
# Formation energy (no corrections): -0.009 eV per atom
# Magnetic moment: 0.000 Bohr magnetons per cell
# Excess energy over the best structure of this formula in the dataset: 0.00 kJ per mole of atoms
# SG: No. 123

No. 2
# CuIrNF2, optimized geometry, DFT PBE
data_CuIrNF2
_chemical_formula_sum 'Cu1 Ir1 N1 F2'
_symmetry_space_group_name_H-M 'P 1'
_symmetry_Int_Tables_number 1
_cell_length_a 3.4694
_cell_length_b 3.4694
_cell_length_c 5.8933
_cell_angle_alpha 90.00
_cell_angle_beta 90.00
_cell_angle_gamma 90.00
loop_
_symmetry_equiv_pos_as_xyz
'x,y,z'
loop_
_atom_site_label
_atom_site_fract_x
_atom_site_fract_y
_atom_site_fract_z
_atom_site_occupancy
Cu1 0.0000 0.0000 0.0000 1
Ir1 0.5000 0.5000 0.5000 1
N1 0.0000 0.0000 0.5000 1
F1 0.0000 0.5000 0.0000 1
F2 0.5000 0.0000 0.0000 1
# Formation energy (no corrections): 0.560 eV per atom
# Magnetic moment: 2.358 Bohr magnetons per cell
# Excess energy over the best structure of this formula in the dataset: 54.85 kJ per mole of atoms
# SG: No. 123

No. 3
# CuIrO2F, optimized geometry, DFT PBE
data_CuIrO2F
_chemical_formula_sum 'Cu1 Ir1 O2 F1'
_symmetry_space_group_name_H-M 'P 1'
_symmetry_Int_Tables_number 1
_cell_length_a 3.6591
_cell_length_b 3.6591
_cell_length_c 6.1228
_cell_angle_alpha 90.00
_cell_angle_beta 90.00
_cell_angle_gamma 90.00
loop_
_symmetry_equiv_pos_as_xyz
'x,y,z'
loop_
_atom_site_label
_atom_site_fract_x
_atom_site_fract_y
_atom_site_fract_z
_atom_site_occupancy
Cu1 0.0000 0.0000 0.0000 1
Ir1 0.5000 0.5000 0.5000 1
O1 0.0000 0.5000 0.5000 1
O2 0.5000 0.0000 0.5000 1
F1 0.5000 0.5000 0.0000 1
# Formation energy (no corrections): -0.339 eV per atom
# Magnetic moment: 0.313 Bohr magnetons per cell
# SG: No. 123

No. 4
# CuIrO2F, optimized geometry, DFT PBE
data_CuIrO2F
_chemical_formula_sum 'Cu1 Ir1 O2 F1'
_symmetry_space_group_name_H-M 'P 1'
_symmetry_Int_Tables_number 1
_cell_length_a 3.8494
_cell_length_b 3.8494
_cell_length_c 3.8064
_cell_angle_alpha 90.00
_cell_angle_beta 90.00
_cell_angle_gamma 90.00
loop_
_symmetry_equiv_pos_as_xyz
'x,y,z'
loop_
_atom_site_label
_atom_site_fract_x
_atom_site_fract_y
_atom_site_fract_z
_atom_site_occupancy
Cu1 0.0000 0.0000 0.0000 1
Ir1 0.5000 0.5000 0.5000 1
O1 0.0000 0.5000 0.0000 1
O2 0.5000 0.0000 0.0000 1
F1 0.0000 0.0000 0.5000 1
# Formation energy (no corrections): 0.385 eV per atom
# Magnetic moment: 3.372 Bohr magnetons per cell
# SG: No. 123

Repeat the first record exactly.
# CuIrNF2, optimized geometry, DFT PBE
data_CuIrNF2
_chemical_formula_sum 'Cu1 Ir1 N1 F2'
_symmetry_space_group_name_H-M 'P 1'
_symmetry_Int_Tables_number 1
_cell_length_a 4.3250
_cell_length_b 4.3250
_cell_length_c 3.6980
_cell_angle_alpha 90.00
_cell_angle_beta 90.00
_cell_angle_gamma 90.00
loop_
_symmetry_equiv_pos_as_xyz
'x,y,z'
loop_
_atom_site_label
_atom_site_fract_x
_atom_site_fract_y
_atom_site_fract_z
_atom_site_occupancy
Cu1 0.0000 0.0000 0.0000 1
Ir1 0.5000 0.5000 0.5000 1
N1 0.5000 0.5000 0.0000 1
F1 0.0000 0.5000 0.5000 1
F2 0.5000 0.0000 0.5000 1
# Formation energy (no corrections): -0.009 eV per atom
# Magnetic moment: 0.000 Bohr magnetons per cell
# Excess energy over the best structure of this formula in the dataset: 0.00 kJ per mole of atoms
# SG: No. 123

Q: Which formula does entry 1 have?
A: CuIrNF2